1.
NaSb3Mo | SCAN | PBEsol geometry

Structure (CIF):
```
data_NaSb3Mo
_cell_length_a 5.185
_cell_length_b 5.185
_cell_length_c 5.185
_cell_angle_alpha 90.00
_cell_angle_beta 90.00
_cell_angle_gamma 90.00
_symmetry_space_group_name_H-M 'P 1'
_symmetry_Int_Tables_number 1
loop_
_symmetry_equiv_pos_as_xyz
'x,y,z'
loop_
_atom_site_label
_atom_site_type_symbol
_atom_site_fract_x
_atom_site_fract_y
_atom_site_fract_z
_atom_site_occupancy
Na1 Na 0.000 0.000 0.000 1
Sb1 Sb 0.000 0.000 0.500 1
Sb2 Sb 0.000 0.500 0.000 1
Sb3 Sb 0.500 0.000 0.000 1
Mo1 Mo 0.500 0.500 0.500 1
```

Formation energy from raw total energies ... 1.37 eV/atom
Size of the total moment ... 4.0 μB/cell
DOS at the Fermi energy ... 2.8 states/eV per cell

=====

2.
KMg2Se | SCAN | PBEsol geometry

Structure (CIF):
```
data_KMg2Se
_cell_length_a 4.298
_cell_length_b 3.979
_cell_length_c 7.055
_cell_angle_alpha 90.00
_cell_angle_beta 105.05
_cell_angle_gamma 90.00
_symmetry_space_group_name_H-M 'P 1'
_symmetry_Int_Tables_number 1
loop_
_symmetry_equiv_pos_as_xyz
'x,y,z'
loop_
_atom_site_label
_atom_site_type_symbol
_atom_site_fract_x
_atom_site_fract_y
_atom_site_fract_z
_atom_site_occupancy
K1 K 0.000 0.000 0.000 1
Mg1 Mg 0.249 0.000 0.544 1
Mg2 Mg 0.685 0.500 0.411 1
Se1 Se 0.416 0.500 0.783 1
```

Formation energy from raw total energies ... -0.57 eV/atom
Size of the total moment ... 0.0 μB/cell
DOS at the Fermi energy ... 1.3 states/eV per cell

=====

3.
Tl3Zn | SCAN | PBEsol geometry

Structure (CIF):
```
data_Tl3Zn
_cell_length_a 6.281
_cell_length_b 6.281
_cell_length_c 6.281
_cell_angle_alpha 147.99
_cell_angle_beta 129.49
_cell_angle_gamma 61.06
_symmetry_space_group_name_H-M 'P 1'
_symmetry_Int_Tables_number 1
loop_
_symmetry_equiv_pos_as_xyz
'x,y,z'
loop_
_atom_site_label
_atom_site_type_symbol
_atom_site_fract_x
_atom_site_fract_y
_atom_site_fract_z
_atom_site_occupancy
Tl1 Tl 0.000 0.000 0.000 1
Tl2 Tl 0.280 0.780 0.500 1
Tl3 Tl 0.720 0.220 0.500 1
Zn1 Zn 0.500 0.500 0.000 1
```

Size of the total moment ... 0.0 μB/cell
DOS at the Fermi energy ... 1.9 states/eV per cell
Formation energy ... 0.1480 eV/atom

=====

4.
Li2SbPb | SCAN | PBEsol geometry

Structure (CIF):
```
data_Li2SbPb
_cell_length_a 5.240
_cell_length_b 5.240
_cell_length_c 5.240
_cell_angle_alpha 128.09
_cell_angle_beta 128.09
_cell_angle_gamma 76.48
_symmetry_space_group_name_H-M 'P 1'
_symmetry_Int_Tables_number 1
loop_
_symmetry_equiv_pos_as_xyz
'x,y,z'
loop_
_atom_site_label
_atom_site_type_symbol
_atom_site_fract_x
_atom_site_fract_y
_atom_site_fract_z
_atom_site_occupancy
Li1 Li 0.250 0.750 0.500 1
Li2 Li 0.750 0.250 0.500 1
Sb1 Sb 0.000 0.000 0.000 1
Pb1 Pb 0.500 0.500 0.000 1
```

Formation energy from raw total energies ... -0.42 eV/atom
Size of the total moment ... 0.0 μB/cell
DOS at the Fermi energy ... 0.8 states/eV per cell